The following is a PBEsol calculation of an optimized crystal structure of TaRe2Se, from the Alexandria database.

The structure in CIF format:
```
data_TaRe2Se
_symmetry_space_group_name_H-M 'P 1'
_symmetry_Int_Tables_number 1
_symmetry_space_group_name_Hall 'P 1'
_cell_length_a 4.4587
_cell_length_b 4.4587
_cell_length_c 4.4587
_cell_angle_alpha 60.00
_cell_angle_beta 60.00
_cell_angle_gamma 60.00
loop_
_atom_site_label
_atom_site_fract_x
_atom_site_fract_y
_atom_site_fract_z
_atom_site_occupancy
Ta1 0.2500 0.2500 0.2500 1
Se1 0.5000 0.5000 0.5000 1
Re1 0.0000 0.0000 0.0000 1
Re2 0.7500 0.7500 0.7500 1
```

formation energy (no corrections): 486 meV/atom
DOS(E_F): 1.024 states/eV per atom
E: -10.2806 eV per atom
calculated volume: 15.67 Å³/atom
symmetry: F-43m (216)
spin magnetization: 0.000 μB/f.u.